## CsNiBi2W (PBE)

Data for CsNiBi2W after structural relaxation.

Properties
calculated formation energy	31.498	kcal/mol of atoms
DOS(E_F)	13.4	states/eV per cell
total magnetization	0.720	μB/f.u.

Lattice parameters (Å, degrees): 5.3654 5.3654 6.1392 90.00 90.00 90.00
Closest atoms and distances in Å follow each position.
Space group P4/mmm (No. 123)
One atom of each set of equivalent atoms:
1 Cs 0.0000 0.0000 0.0000  2 W 3.07
2 Ni 0.5000 0.5000 0.0000  4 Cs 3.79, 8 Bi 4.08
3 Bi 0.0000 0.5000 0.5000  2 W 2.68
4 W 0.0000 0.0000 0.5000  4 Bi 2.68